1.
Computed, not measured: an optimized crystal structure of TbPmTh2 at the GGA-PBE level of DFT.

The calculation puts the excess energy over the best structure of this formula in the dataset at 174 meV per atom. Its calculated formation energy is 0.20 eV per atom.

The structure belongs to space group R-3m (No. 166, hexagonal axes); the cell edges are 3.5089, 3.5089 and 37.3336 Å and the angles 90.00°, 90.00° and 120.00°. The distinct sites, in fractional coordinates, are Tb at (0.0000, 0.0000, 0.0000), Pm at (0.0000, 0.0000, 0.5000) and Th at (0.0000, 0.0000, 0.4121).

***

2.
Computed, not measured: an optimized crystal structure of Tb7Pm2Th4 at the GGA-PBE level of DFT.

Its calculated formation energy is 0.05 eV per atom.

The structure belongs to space group P-1 (No. 2); the cell edges are 6.199, 8.007 and 9.483 Å and the angles 65.17°, 83.83° and 82.63°. The distinct sites, in fractional coordinates, are Tb at (0.000, 0.000, 0.000), Tb at (0.078, 0.844, 0.696), Tb at (0.234, 0.538, 0.075), Tb at (0.388, 0.230, 0.463), Pm at (0.158, 0.693, 0.380), Th at (0.314, 0.377, 0.774) and Th at (0.464, 0.077, 0.149).

***

3.
Computed, not measured: an optimized crystal structure of TbPm10Th4 at the GGA-PBE level of DFT.

Its calculated formation energy is 0.36 eV per atom.

The structure belongs to space group I4/m (No. 87); the cell edges are 9.843, 9.843 and 10.777 Å and the angles 90.00°, 90.00° and 90.00°. The distinct sites, in fractional coordinates, are Tb at (0.000, 0.000, 0.000), Pm at (0.000, 0.500, 0.250), Pm at (0.118, 0.790, 0.342) and Th at (0.058, 0.666, 0.000).

***

4.
Computed, not measured: an optimized crystal structure of Tb4Pm5Th at the GGA-PBE level of DFT.

The calculation puts the excess energy over the best structure of this formula in the dataset at 0 meV per atom. Its calculated formation energy is 0.16 eV per atom.

The structure belongs to space group C2/m (No. 12); the cell edges are 18.266, 3.586 and 10.583 Å and the angles 90.00°, 96.54° and 90.00°. The distinct sites, in fractional coordinates, are Tb at (0.048, 0.000, 0.260), Tb at (0.181, 0.500, 0.418), Pm at (0.000, 0.500, 0.000), Pm at (0.139, 0.000, 0.726), Pm at (0.190, 0.000, 0.096) and Th at (0.000, 0.500, 0.500).

***

For reference, DFT total energy by record: -5.85; -5.46; -5.09; -4.81 eV/atom.
For reference, D(E_F) by record: 1.447; 1.535; 1.586; 1.504 states/eV/atom.